Record 1
# LaPmCdRh

A geometry-optimized LaPmCdRh structure (PBE-GGA, Alexandria via LeMat-Bulk).

Lattice parameters (Å, degrees): 7.4287 7.4287 7.4287 90.00 90.00 90.00
Last column: nearest neighbours and their distance in Å.
Space group F-43m (No. 216)
Symmetry-distinct sites (fractional):
La 0.0000 0.0000 0.0000 x4  4 Rh 3.22, 4 Cd 3.22
Pm 0.0000 0.0000 0.5000 x4  4 Cd 3.22, 4 Rh 3.22
Cd 0.2500 0.2500 0.2500 x4  4 La 3.22, 4 Pm 3.22
Rh 0.2500 0.2500 0.7500 x4  4 Pm 3.22, 4 La 3.22

Values from the calculation:
As for the energy of formation from the pure elements: -1.71 eV per formula unit. As for the crystal system: cubic.



Record 2
# LaPmCdRu

A geometry-optimized LaPmCdRu structure (PBE-GGA, Alexandria via LeMat-Bulk).

Lattice parameters (Å, degrees): 3.5715 3.5715 8.0447 90.00 90.00 90.00
Last column: nearest neighbours and their distance in Å.
Space group P4mm (No. 99)
Symmetry-distinct sites (fractional):
La 0.0000 0.0000 0.0000 x1  4 Ru 3.08
Pm 0.0000 0.0000 0.5701 x1  4 Ru 3.04, 4 Cd 3.35
Cd 0.5000 0.5000 0.2969 x1  4 Pm 3.35, 4 La 3.48, 4 Cd 3.57
Ru 0.5000 0.5000 0.7801 x1  4 Pm 3.04, 4 La 3.08

Values from the calculation:
As for the energy of formation from the pure elements: -1.04 eV per formula unit. As for the crystal system: tetragonal.



Record 3
# LaPmCdRu

A geometry-optimized LaPmCdRu structure (PBE-GGA, Alexandria via LeMat-Bulk).

Lattice parameters (Å, degrees): 7.3892 7.3892 7.3892 90.00 90.00 90.00
Last column: nearest neighbours and their distance in Å.
Space group F-43m (No. 216)
Symmetry-distinct sites (fractional):
La 0.0000 0.0000 0.0000 x4  4 Ru 3.20, 4 Cd 3.20
Pm 0.0000 0.0000 0.5000 x4  4 Cd 3.20, 4 Ru 3.20
Cd 0.2500 0.2500 0.2500 x4  4 La 3.20, 4 Pm 3.20
Ru 0.2500 0.2500 0.7500 x4  4 La 3.20, 4 Pm 3.20

Values from the calculation:
As for the energy of formation from the pure elements: -0.69 eV per formula unit. As for the crystal system: cubic.



Record 4
# LaPmCdSi

A geometry-optimized LaPmCdSi structure (PBE-GGA, Alexandria via LeMat-Bulk).

Lattice parameters (Å, degrees): 7.5091 7.5091 7.5091 90.00 90.00 90.00
Last column: nearest neighbours and their distance in Å.
Space group F-43m (No. 216)
Symmetry-distinct sites (fractional):
La 0.0000 0.0000 0.0000 x4  4 Cd 3.25, 4 Si 3.25
Pm 0.0000 0.0000 0.5000 x4  4 Si 3.25, 4 Cd 3.25
Cd 0.2500 0.2500 0.7500 x4  4 La 3.25, 4 Pm 3.25
Si 0.2500 0.2500 0.2500 x4  4 La 3.25, 4 Pm 3.25

Values from the calculation:
As for the crystal system: cubic. As for the uncorrected formation energy: -403 meV per atom.



Record 5
# La4PmSm2Cd

A geometry-optimized La4PmSm2Cd structure (PBE-GGA, Alexandria via LeMat-Bulk).

Lattice parameters (Å, degrees): 5.1157 5.1157 10.2930 90.00 90.00 90.00
Last column: nearest neighbours and their distance in Å.
Space group P4/mmm (No. 123)
Symmetry-distinct sites (fractional):
La 0.0000 0.5000 0.2430 x4  2 Cd 3.58, 4 Sm 3.58-3.68, 4 La 3.62, 2 Pm 3.68
Pm 0.0000 0.0000 0.5000 x1  4 Sm 3.62, 8 La 3.68
Sm 0.0000 0.0000 0.0000 x1  8 La 3.58, 4 Cd 3.62
Sm 0.5000 0.5000 0.5000 x1  4 Pm 3.62, 8 La 3.68
Cd 0.5000 0.5000 0.0000 x1  8 La 3.58, 4 Sm 3.62

Values from the calculation:
As for the energy of formation from the pure elements: -0.41 eV per formula unit. As for the crystal system: tetragonal.



Record 6
# LaPmSmCd

A geometry-optimized LaPmSmCd structure (PBE-GGA, Alexandria via LeMat-Bulk).

Lattice parameters (Å, degrees): 3.7602 3.7602 8.9397 90.00 90.00 90.00
Last column: nearest neighbours and their distance in Å.
Space group P4mm (No. 99)
Symmetry-distinct sites (fractional):
La 0.0000 0.0000 0.0000 x1  4 Sm 3.65, 4 Pm 3.66, 4 La 3.76
Pm 0.5000 0.5000 0.2813 x1  4 Cd 3.32, 4 La 3.66
Sm 0.5000 0.5000 0.7206 x1  4 Cd 3.29, 4 La 3.65
Cd 0.0000 0.0000 0.5030 x1  4 Sm 3.29, 4 Pm 3.32

Values from the calculation:
As for the energy of formation from the pure elements: -0.60 eV per formula unit. As for the crystal system: tetragonal.



Record 7
# LaPmSmCd

A geometry-optimized LaPmSmCd structure (PBE-GGA, Alexandria via LeMat-Bulk).

Lattice parameters (Å, degrees): 7.9453 7.9453 7.9453 90.00 90.00 90.00
Last column: nearest neighbours and their distance in Å.
Space group F-43m (No. 216)
Symmetry-distinct sites (fractional):
La 0.0000 0.0000 0.0000 x4  4 Pm 3.44, 4 Cd 3.44
Pm 0.2500 0.2500 0.2500 x4  4 La 3.44, 4 Sm 3.44
Sm 0.0000 0.0000 0.5000 x4  4 Cd 3.44, 4 Pm 3.44
Cd 0.2500 0.2500 0.7500 x4  4 La 3.44, 4 Sm 3.44

Values from the calculation:
As for the energy of formation from the pure elements: -0.12 eV per formula unit. As for the crystal system: cubic.



Record 8
# LaPmCdSn

A geometry-optimized LaPmCdSn structure (PBE-GGA, Alexandria via LeMat-Bulk).

Lattice parameters (Å, degrees): 7.7627 7.7627 7.7627 90.00 90.00 90.00
Last column: nearest neighbours and their distance in Å.
Space group F-43m (No. 216)
Symmetry-distinct sites (fractional):
La 0.0000 0.0000 0.0000 x4  4 Sn 3.36, 4 Cd 3.36
Pm 0.0000 0.0000 0.5000 x4  4 Cd 3.36, 4 Sn 3.36
Cd 0.2500 0.2500 0.2500 x4  4 La 3.36, 4 Pm 3.36
Sn 0.2500 0.2500 0.7500 x4  4 Pm 3.36, 4 La 3.36

Values from the calculation:
As for the energy of formation from the pure elements: -2.21 eV per formula unit. As for the crystal system: cubic.



Number 1: N(E_F) 9.482 states/eV/cell. Number 2: N(E_F) 4.523 states/eV/cell. Number 3: N(E_F) 16.719 states/eV/cell. Number 4: N(E_F) 12.070 states/eV/cell. Number 5: N(E_F) 10.229 states/eV/cell. Number 6: N(E_F) 5.275 states/eV/cell. Number 7: N(E_F) 22.798 states/eV/cell. Number 8: N(E_F) 13.433 states/eV/cell.